Record 1
VASP calculation (GGA-PBE) on Be2VBiIr after structural relaxation. Values from VASP.

Summary:
Space group ... P4/mmm, No. 123
Total magnetic moment ... 0.496 μB/atom
Offset from the most stable computed form ... 834 meV per atom

Quantum ESPRESSO input file:
```
&SYSTEM
  ibrav = 0, nat = 5, ntyp = 4
/
ATOMIC_SPECIES
Be 9.01 Be.upf
Ir 192.22 Ir.upf
V 50.94 V.upf
Bi 208.98 Bi.upf
ATOMIC_POSITIONS crystal
Be 0.500 0.000 0.000
Be 0.000 0.500 0.000
Ir 0.500 0.500 0.500
V 0.000 0.000 0.500
Bi 0.000 0.000 0.000
CELL_PARAMETERS angstrom
-2.207 -0.719 3.739
3.642 -1.661 1.830
1.317 4.749 1.691
```



Record 2
VASP calculation (GGA-PBE) on TbPm6NdDy2 after structural relaxation. Values from VASP.

Summary:
Space group ... C2/c, No. 15
VASP energy ... -4.59 eV/atom
Total magnetic moment ... 0.000 μB/atom

Quantum ESPRESSO input file:
```
&SYSTEM
  ibrav = 0, nat = 20, ntyp = 4
/
ATOMIC_SPECIES
Pm 145.00 Pm.upf
Nd 144.24 Nd.upf
Dy 162.50 Dy.upf
Tb 158.93 Tb.upf
ATOMIC_POSITIONS crystal
Pm 0.620 0.492 0.706
Pm 0.555 0.757 0.114
Pm 0.684 0.018 0.568
Pm 0.880 0.294 0.508
Pm 0.816 0.432 0.982
Pm 0.184 0.568 0.018
Pm 0.945 0.886 0.243
Pm 0.445 0.243 0.886
Pm 0.120 0.706 0.492
Pm 0.316 0.982 0.432
Pm 0.055 0.114 0.757
Pm 0.380 0.508 0.294
Nd 0.750 0.593 0.407
Nd 0.250 0.407 0.593
Dy 0.045 0.294 0.196
Dy 0.955 0.706 0.804
Dy 0.455 0.804 0.706
Dy 0.545 0.196 0.294
Tb 0.250 0.972 0.028
Tb 0.750 0.028 0.972
CELL_PARAMETERS angstrom
-0.557 4.664 8.525
-7.574 3.520 -3.155
-0.416 -8.122 3.683
```



Record 3
VASP calculation (GGA-PBE) on Ac6GaGe2Br3 after structural relaxation. Values from VASP.

Summary:
Space group ... C2/m, No. 12
Total magnetic moment ... 0.000 μB/atom
E_form (uncorrected) ... -1.054 eV/atom

Quantum ESPRESSO input file:
```
&SYSTEM
  ibrav = 0, nat = 12, ntyp = 4
/
ATOMIC_SPECIES
Ac 227.00 Ac.upf
Ge 72.64 Ge.upf
Br 79.90 Br.upf
Ga 69.72 Ga.upf
ATOMIC_POSITIONS crystal
Ac 0.327 0.433 0.653
Ac 0.006 0.234 0.012
Ac 0.673 0.567 0.347
Ac 0.340 0.902 0.679
Ac 0.660 0.098 0.321
Ac 0.994 0.766 0.988
Ge 0.833 0.666 0.666
Ge 0.167 0.334 0.334
Br 0.833 0.169 0.666
Br 0.167 0.831 0.334
Br 0.500 0.500 0.000
Ga 0.500 0.000 0.000
CELL_PARAMETERS angstrom
-3.028 -3.450 0.794
1.558 -3.304 -8.411
8.429 -3.088 5.059
```



Record 4
VASP calculation (GGA-PBE) on Ba2CaHg after structural relaxation. Values from VASP.

Summary:
Space group ... Cmmm, No. 65
Total magnetic moment ... 0.000 μB/atom
Offset from the most stable computed form ... 98 meV per atom

Quantum ESPRESSO input file:
```
&SYSTEM
  ibrav = 0, nat = 4, ntyp = 3
/
ATOMIC_SPECIES
Ba 137.33 Ba.upf
Ca 40.08 Ca.upf
Hg 200.59 Hg.upf
ATOMIC_POSITIONS crystal
Ba 0.500 0.500 0.000
Ba 0.000 0.000 0.000
Ca 0.500 0.000 0.500
Hg 0.000 0.500 0.500
CELL_PARAMETERS angstrom
-5.007 -3.591 -0.737
0.213 -1.510 6.016
-2.646 3.487 0.971
```



Record 5
VASP calculation (GGA-PBE) on LiCd2Ir after structural relaxation. Values from VASP.

Summary:
Space group ... R-3m, No. 166
VASP energy ... -3.12 eV/atom
Total magnetic moment ... 0.073 μB/atom

Quantum ESPRESSO input file:
```
&SYSTEM
  ibrav = 0, nat = 4, ntyp = 3
/
ATOMIC_SPECIES
Cd 112.41 Cd.upf
Li 6.94 Li.upf
Ir 192.22 Ir.upf
ATOMIC_POSITIONS crystal
Cd 0.501 0.501 0.501
Cd 0.999 0.999 0.999
Li 0.750 0.750 0.750
Ir 0.250 0.250 0.250
CELL_PARAMETERS angstrom
-1.093 -8.683 3.836
0.326 -9.449 1.384
1.839 -8.595 3.749
```



Record 6
VASP calculation (GGA-PBE) on LaH6Au2 after structural relaxation. Values from VASP.

Summary:
Space group ... Fdd2, No. 43
VASP energy ... -3.61 eV/atom
Total magnetic moment ... 0.000 μB/atom

Quantum ESPRESSO input file:
```
&SYSTEM
  ibrav = 0, nat = 18, ntyp = 3
/
ATOMIC_SPECIES
H 1.01 H.upf
Au 196.97 Au.upf
La 138.91 La.upf
ATOMIC_POSITIONS crystal
H 0.326 0.989 0.142
H 0.831 0.534 0.721
H 0.812 0.110 0.279
H 0.189 0.593 0.122
H 0.317 0.222 0.378
H 0.360 0.562 0.779
H 0.472 0.067 0.878
H 0.847 0.184 0.858
H 0.239 0.076 0.642
H 0.843 0.939 0.622
H 0.784 0.581 0.221
H 0.434 0.597 0.358
Au 0.645 0.579 0.552
Au 0.344 0.777 0.948
Au 0.027 0.094 0.448
Au 0.829 0.395 0.052
La 0.238 0.238 0.000
La 0.488 0.988 0.500
CELL_PARAMETERS angstrom
6.395 -0.361 -1.660
-3.629 5.279 -1.660
0.070 0.125 6.698
```



Record 7
VASP calculation (GGA-PBE) on SrNiSb2 after structural relaxation. Values from VASP.

Summary:
Space group ... I-4m2, No. 119
Total magnetic moment ... 0.000 μB/atom
E_form (uncorrected) ... -0.060 eV/atom

Quantum ESPRESSO input file:
```
&SYSTEM
  ibrav = 0, nat = 4, ntyp = 3
/
ATOMIC_SPECIES
Ni 58.69 Ni.upf
Sb 121.76 Sb.upf
Sr 87.62 Sr.upf
ATOMIC_POSITIONS crystal
Ni 0.750 0.250 0.500
Sb 0.250 0.750 0.500
Sb 0.000 0.000 0.000
Sr 0.500 0.500 0.000
CELL_PARAMETERS angstrom
5.849 -0.017 0.000
2.446 5.313 0.000
-4.147 -2.648 3.162
```



Record 8
VASP calculation (GGA-PBE) on SrAlAg2Au after structural relaxation. Values from VASP.

Summary:
Space group ... P4/mmm, No. 123
VASP energy ... -3.10 eV/atom
Total magnetic moment ... 0.000 μB/atom

Quantum ESPRESSO input file:
```
&SYSTEM
  ibrav = 0, nat = 5, ntyp = 4
/
ATOMIC_SPECIES
Sr 87.62 Sr.upf
Au 196.97 Au.upf
Ag 107.87 Ag.upf
Al 26.98 Al.upf
ATOMIC_POSITIONS crystal
Sr 0.500 0.500 0.500
Au 0.000 0.000 0.500
Ag 0.000 0.500 0.000
Ag 0.500 0.000 0.000
Al 0.000 0.000 0.000
CELL_PARAMETERS angstrom
-4.024 0.537 2.925
-1.531 -4.593 -1.263
2.528 -1.896 3.827
```